No. 1
First-principles (GGA-PBE) data for an optimized crystal structure of In2CoPt, as listed in Alexandria via LeMat-Bulk.

Properties
- magnetic moment (μB/cell) = 0.9
- space group = C2/m, No. 12
- relative energy among the computed polymorphs (meV/atom) = 156.7
- calculated formation energy (eV per atom) = 0.035

Lattice parameters (Å, degrees): 4.5902 4.5902 5.3515 78.59 78.59 39.55
Last column: nearest neighbours and their distance in Å.
Atoms (fractional coordinates):
In 0.9952 0.9952 0.0104  3 Co 2.72-2.77, 3 Pt 2.77-2.81, 2 In 3.01
In 0.5048 0.5048 0.4896  3 Co 2.72-2.77, 3 Pt 2.77-2.81, 2 In 3.01
Pt 0.7500 0.7500 0.7500  6 In 2.77-2.81, 4 Co 3.09
Co 0.2500 0.2500 0.2500  6 In 2.72-2.77

No. 2
First-principles (GGA-PBE) data for an optimized crystal structure of U2NO, as listed in Alexandria via LeMat-Bulk.

Properties
- magnetic moment (μB/cell) = 5.9
- space group = P4/mmm, No. 123
- relative energy among the computed polymorphs (meV/atom) = 638.8

Lattice parameters (Å, degrees): 3.0373 3.0373 6.0859 90.00 90.00 90.00
Last column: nearest neighbours and their distance in Å.
Atoms (fractional coordinates):
U 0.0000 0.0000 0.7598  4 N 2.60, 4 O 2.67
N 0.5000 0.5000 0.0000  8 U 2.60
O 0.5000 0.5000 0.5000  8 U 2.67
U 0.0000 0.0000 0.2402  4 N 2.60, 4 O 2.67

No. 3
First-principles (GGA-PBE) data for an optimized crystal structure of GdTmAl2, as listed in Alexandria via LeMat-Bulk.

Properties
- magnetic moment (μB/cell) = 7.1
- space group = Fm-3m, No. 225
- relative energy among the computed polymorphs (meV/atom) = 4.1
- calculated formation energy (eV per atom) = -0.393

Lattice parameters (Å, degrees): 5.0803 5.0803 5.0803 60.00 60.00 60.00
Last column: nearest neighbours and their distance in Å.
Atoms (fractional coordinates):
Al 0.7500 0.7500 0.7500  4 Gd 3.11, 4 Tm 3.11
Tm 0.5000 0.5000 0.5000  8 Al 3.11
Al 0.2500 0.2500 0.2500  4 Tm 3.11, 4 Gd 3.11
Gd 0.0000 0.0000 0.0000  8 Al 3.11

No. 4
First-principles (GGA-PBE) data for an optimized crystal structure of Pr2Nd7Dy3, as listed in Alexandria via LeMat-Bulk.

Properties
- magnetic moment (μB/cell) = 0.0
- space group = P2/m, No. 10
- relative energy among the computed polymorphs (meV/atom) = 0.0
- calculated formation energy (eV per atom) = 0.065

Lattice parameters (Å, degrees): 3.5948 6.5179 18.3425 75.16 90.00 90.00
Last column: nearest neighbours and their distance in Å.
Atoms (fractional coordinates):
Nd 0.5000 0.2381 0.5038  2 Nd 3.14-3.38, 2 Pr 3.44-3.49
Nd 0.0000 0.4422 0.8357  7 Nd 3.59-3.75, 3 Dy 3.61-3.75, 2 Pr 3.62
Dy 0.5000 0.5000 0.0000  2 Dy 3.59, 10 Nd 3.61-3.72
Dy 0.0000 0.1142 0.3408  2 Dy 3.59, 7 Nd 3.64-3.75, 4 Pr 3.67-3.78
Nd 0.5000 0.7619 0.4962  2 Nd 3.14-3.38, 2 Pr 3.44-3.49
Nd 0.5000 0.0586 0.1694  1 Pr 3.57, 8 Nd 3.59-3.75, 3 Dy 3.65-3.72
Nd 0.0000 0.5578 0.1643  7 Nd 3.59-3.75, 3 Dy 3.61-3.75, 2 Pr 3.62
Dy 0.0000 0.8858 0.6592  2 Dy 3.59, 7 Nd 3.64-3.75, 4 Pr 3.67-3.78
Nd 0.0000 0.0000 0.0000  8 Nd 3.59-3.69, 4 Dy 3.72
Pr 0.5000 0.6123 0.3295  5 Nd 3.44-3.62, 2 Pr 3.59, 4 Dy 3.67-3.78
Nd 0.5000 0.9414 0.8306  1 Pr 3.57, 8 Nd 3.59-3.75, 3 Dy 3.65-3.72
Pr 0.5000 0.3877 0.6705  5 Nd 3.44-3.62, 2 Pr 3.59, 4 Dy 3.67-3.78

No. 5
First-principles (GGA-PBE) data for an optimized crystal structure of LiAc2Ga4Ag3, as listed in Alexandria via LeMat-Bulk.

Properties
- magnetic moment (μB/cell) = 0.0
- space group = P-4m2, No. 115
- calculated formation energy (eV per atom) = -0.365

Lattice parameters (Å, degrees): 4.5898 4.5898 10.7373 90.00 90.00 90.00
Last column: nearest neighbours and their distance in Å.
Atoms (fractional coordinates):
Li 0.5000 0.5000 0.5000  4 Ga 2.67
Ga 0.0000 0.5000 0.3724  3 Ag 2.60-2.67, 2 Li 2.67
Ac 0.5000 0.0000 0.2495  6 Ag 3.49-3.54, 8 Ga 3.50-3.53, 2 Li 3.54
Ga 0.5000 0.5000 0.0000  4 Ag 2.69
Ag 0.0000 0.0000 0.5000  4 Ga 2.67
Ga 0.5000 0.0000 0.6276  3 Ag 2.60-2.67, 2 Li 2.67
Ac 0.0000 0.5000 0.7505  6 Ag 3.49-3.54, 8 Ga 3.50-3.53, 2 Li 3.54
Ga 0.0000 0.0000 0.0000  4 Ag 2.69
Ag 0.0000 0.5000 0.1305  5 Ga 2.60-2.69
Ag 0.5000 0.0000 0.8695  5 Ga 2.60-2.69

No. 6
First-principles (GGA-PBE) data for an optimized crystal structure of La2MnAlGa6, as listed in Alexandria via LeMat-Bulk.

Properties
- magnetic moment (μB/cell) = 4.8
- space group = Pmmn, No. 59
- calculated formation energy (eV per atom) = -0.346

Lattice parameters (Å, degrees): 6.7693 7.1219 8.8684 90.00 90.00 90.00
Last column: nearest neighbours and their distance in Å.
Atoms (fractional coordinates):
Ga 0.0000 0.7785 0.7435  1 Mn 2.42, 1 Al 2.54
Ga 0.1847 0.5898 0.0000  1 Al 2.49, 1 Ga 2.50, 1 Mn 2.51
Ga 0.3153 0.4102 0.5000  1 Al 2.49, 1 Ga 2.50, 1 Mn 2.51
Ga 0.8106 0.9491 0.5000  1 Mn 2.38, 1 Ga 2.56
Al 0.5000 0.4087 0.0000  4 Ga 2.49-2.54
La 0.0000 0.2494 0.7548  11 Ga 3.31-3.49, 1 Al 3.32, 1 Mn 3.33
Ga 0.3106 0.0509 0.0000  1 Mn 2.38, 1 Ga 2.56
Ga 0.6847 0.4102 0.5000  1 Al 2.49, 1 Ga 2.50, 1 Mn 2.51
La 0.5000 0.7506 0.7452  11 Ga 3.31-3.49, 1 Al 3.32, 1 Mn 3.33
La 0.0000 0.2494 0.2452  11 Ga 3.31-3.49, 1 Al 3.32, 1 Mn 3.33
La 0.5000 0.7506 0.2548  11 Ga 3.31-3.49, 1 Al 3.32, 1 Mn 3.33
Ga 0.5000 0.2215 0.2435  1 Mn 2.42, 1 Al 2.54
Mn 0.5000 0.1050 0.5000  6 Ga 2.38-2.51
Ga 0.0000 0.7785 0.2565  1 Mn 2.42, 1 Al 2.54
Mn 0.0000 0.8950 0.0000  6 Ga 2.38-2.51
Ga 0.8153 0.5898 0.0000  1 Al 2.49, 1 Ga 2.50, 1 Mn 2.51
Ga 0.1894 0.9491 0.5000  1 Mn 2.38, 1 Ga 2.56
Al 0.0000 0.5913 0.5000  4 Ga 2.49-2.54
Ga 0.6894 0.0509 0.0000  1 Mn 2.38, 1 Ga 2.56
Ga 0.5000 0.2215 0.7565  1 Mn 2.42, 1 Al 2.54

No. 7
First-principles (GGA-PBE) data for an optimized crystal structure of PmCdBiRu, as listed in Alexandria via LeMat-Bulk.

Properties
- magnetic moment (μB/cell) = 0.0
- space group = F-43m, No. 216
- calculated formation energy (eV per atom) = 0.012

Lattice parameters (Å, degrees): 5.0587 5.0587 5.0587 60.00 60.00 60.00
Last column: nearest neighbours and their distance in Å.
Atoms (fractional coordinates):
Bi 0.7500 0.7500 0.7500  4 Ru 3.10, 4 Cd 3.10
Cd 0.0000 0.0000 0.0000  4 Bi 3.10, 4 Pm 3.10
Pm 0.2500 0.2500 0.2500  4 Cd 3.10, 4 Ru 3.10
Ru 0.5000 0.5000 0.5000  4 Pm 3.10, 4 Bi 3.10

No. 8
First-principles (GGA-PBE) data for an optimized crystal structure of ErAsI, as listed in Alexandria via LeMat-Bulk.

Properties
- magnetic moment (μB/cell) = 0.0
- space group = Cmcm, No. 63
- electronic total energy (eV per cell) = -27.9

Lattice parameters (Å, degrees): 4.1528 4.1553 12.3440 109.68 99.68 90.00
Last column: nearest neighbours and their distance in Å.
Atoms (fractional coordinates):
As 0.7500 0.7499 0.5000  4 Er 2.84, 4 As 2.94
I 0.5966 0.9427 0.1931  4 Er 3.33
I 0.4034 0.0573 0.8069  4 Er 3.33
Er 0.1653 0.5807 0.3306  4 As 2.84
As 0.2500 0.2501 0.5000  4 Er 2.84, 4 As 2.94
Er 0.8347 0.4193 0.6694  4 As 2.84

magnetic moment of number 7 (PmCdBiRu)?
0.0 μB/cell

Please write out number 5 again, unchanged.
First-principles (GGA-PBE) data for an optimized crystal structure of LiAc2Ga4Ag3, as listed in Alexandria via LeMat-Bulk.

Properties
- magnetic moment (μB/cell) = 0.0
- space group = P-4m2, No. 115
- calculated formation energy (eV per atom) = -0.365

Lattice parameters (Å, degrees): 4.5898 4.5898 10.7373 90.00 90.00 90.00
Last column: nearest neighbours and their distance in Å.
Atoms (fractional coordinates):
Li 0.5000 0.5000 0.5000  4 Ga 2.67
Ga 0.0000 0.5000 0.3724  3 Ag 2.60-2.67, 2 Li 2.67
Ac 0.5000 0.0000 0.2495  6 Ag 3.49-3.54, 8 Ga 3.50-3.53, 2 Li 3.54
Ga 0.5000 0.5000 0.0000  4 Ag 2.69
Ag 0.0000 0.0000 0.5000  4 Ga 2.67
Ga 0.5000 0.0000 0.6276  3 Ag 2.60-2.67, 2 Li 2.67
Ac 0.0000 0.5000 0.7505  6 Ag 3.49-3.54, 8 Ga 3.50-3.53, 2 Li 3.54
Ga 0.0000 0.0000 0.0000  4 Ag 2.69
Ag 0.0000 0.5000 0.1305  5 Ga 2.60-2.69
Ag 0.5000 0.0000 0.8695  5 Ga 2.60-2.69